Record 1
Fe2CoPb after structural relaxation, computed with PBE-GGA.

Values from the calculation:
Its space-group type is No. 99. For the formation energy, the calculation gives 377 meV per atom.

Cell: 3.149 3.149 6.247 Å, 90.00 90.00 90.00°
Site moments in Bohr magnetons follow the coordinates.
Positions (direct):
Co1 0.500 0.500 0.811  1.66
Pb1 0.000 0.000 0.502  -0.02
Fe1 0.500 0.500 0.191  2.66
Fe2 0.000 0.000 0.996  2.77


Record 2
FeCo2Pb after structural relaxation, computed with PBE-GGA.

Values from the calculation:
Its space-group type is No. 6. For the formation energy, the calculation gives 422 meV per atom.

Cell: 3.039 3.084 7.079 Å, 70.66 90.00 90.00°
Site moments in Bohr magnetons follow the coordinates.
Positions (direct):
Co1 0.000 0.878 0.075  1.68
Pb1 0.500 0.761 0.753  -0.02
Fe1 0.000 0.606 0.433  2.78
Co2 0.500 0.255 0.239  1.84


Record 3
FeCo2Pb after structural relaxation, computed with PBE-GGA.

Values from the calculation:
Its space-group type is No. 123. For the formation energy, the calculation gives 343 meV per atom.

Cell: 3.062 3.061 6.282 Å, 90.00 90.00 90.00°
Site moments in Bohr magnetons follow the coordinates.
Positions (direct):
Fe1 0.500 0.500 0.250  2.90
Co1 0.000 0.000 0.045  1.45
Pb1 0.500 0.500 0.750  0.00
Co2 0.000 0.000 0.455  1.45


Record 4
FeCoPb after structural relaxation, computed with PBE-GGA.

Values from the calculation:
The calculation puts the distance to the lowest polymorph of the same formula at 25.5 meV/atom. Its space-group type is No. 107. For the formation energy, the calculation gives 469 meV per atom.

Cell: 5.156 5.156 5.156 Å, 143.33 143.34 52.83°
Site moments in Bohr magnetons follow the coordinates.
Positions (direct):
Fe1 0.361 0.361 0.000  2.65
Pb1 0.666 0.666 0.000  -0.03
Co1 0.973 0.973 0.000  1.54